Record 1
Computed, not measured: a relaxed structure of ZrNb2Hg2 at the GGA-PBE level of DFT.

Summary:
Its distance to the lowest polymorph of the same formula is 0.0000 eV per atom. For the raw total energy, the calculation gives -5.61 eV/atom. The value obtained for the formation energy is 0.2501 eV per atom.

Lattice parameters (Å, degrees): 3.887 3.887 7.521 75.03 75.03 90.00
Fractional coordinates of all 5 atoms:
Nb 0.250 0.750 0.500
Nb 0.750 0.250 0.500
Hg 0.403 0.403 0.194
Hg 0.597 0.597 0.806
Zr 0.000 0.000 0.000

---

Record 2
Computed, not measured: a relaxed structure of ZrNbHg3 at the GGA-PBE level of DFT.

Summary:
Its distance to the lowest polymorph of the same formula is 0.0000 eV per atom. For the raw total energy, the calculation gives -2.84 eV/atom. The value obtained for the formation energy is 1.0649 eV per atom.

Lattice parameters (Å, degrees): 5.213 5.213 5.213 90.00 90.00 90.00
Fractional coordinates of all 5 atoms:
Hg 0.000 0.500 0.000
Hg 0.000 0.000 0.500
Hg 0.500 0.000 0.000
Nb 0.000 0.000 0.000
Zr 0.500 0.500 0.500

---

Record 3
Computed, not measured: a relaxed structure of Zr2NbHg2 at the GGA-PBE level of DFT.

Summary:
Its distance to the lowest polymorph of the same formula is 0.1611 eV per atom. For the raw total energy, the calculation gives -5.39 eV/atom. The value obtained for the formation energy is 0.1686 eV per atom.

Lattice parameters (Å, degrees): 7.925 7.925 3.467 90.00 90.00 90.00
Fractional coordinates of all 10 atoms:
Hg 0.873 0.627 0.000
Hg 0.373 0.873 0.000
Hg 0.127 0.373 0.000
Hg 0.627 0.127 0.000
Zr 0.323 0.177 0.500
Zr 0.677 0.823 0.500
Zr 0.823 0.323 0.500
Zr 0.177 0.677 0.500
Nb 0.500 0.500 0.000
Nb 0.000 0.000 0.000

---

Record 4
Computed, not measured: a relaxed structure of ZrNbHg at the GGA-PBE level of DFT.

Summary:
Its distance to the lowest polymorph of the same formula is 0.1673 eV per atom. For the raw total energy, the calculation gives -6.21 eV/atom. The value obtained for the formation energy is 0.0970 eV per atom.

Lattice parameters (Å, degrees): 3.588 3.588 5.438 109.26 109.26 90.00
Fractional coordinates of all 3 atoms:
Nb 0.665 0.665 0.331
Hg 0.004 0.004 0.009
Zr 0.330 0.330 0.660

---

Record 5
Computed, not measured: a relaxed structure of ZrNb2Hg at the GGA-PBE level of DFT.

Summary:
For the raw total energy, the calculation gives -7.18 eV/atom. The value obtained for the formation energy is 0.0666 eV per atom.

Lattice parameters (Å, degrees): 4.597 4.141 4.141 90.00 90.00 90.00
Fractional coordinates of all 4 atoms:
Nb 0.000 0.500 0.000
Nb 0.000 0.000 0.500
Zr 0.500 0.500 0.500
Hg 0.500 0.000 0.000

---

Record 6
Computed, not measured: a relaxed structure of ZrNbHg at the GGA-PBE level of DFT.

Summary:
Its distance to the lowest polymorph of the same formula is 0.2488 eV per atom. For the raw total energy, the calculation gives -6.13 eV/atom. The value obtained for the formation energy is 0.1785 eV per atom.

Lattice parameters (Å, degrees): 5.617 5.679 5.406 75.11 58.70 60.36
Fractional coordinates of all 6 atoms:
Zr 0.658 0.000 0.684
Zr 0.342 0.000 0.316
Hg 0.250 0.500 0.500
Hg 0.750 0.500 0.500
Nb 0.127 0.747 0.000
Nb 0.873 0.253 0.000

---

Record 7
Computed, not measured: a relaxed structure of ZrNb2Hg at the GGA-PBE level of DFT.

Summary:
For the raw total energy, the calculation gives -5.10 eV/atom. The value obtained for the formation energy is 2.1445 eV per atom.

Lattice parameters (Å, degrees): 6.223 6.223 7.470 65.39 65.39 90.00
Fractional coordinates of all 8 atoms:
Nb 0.606 0.125 0.250
Nb 0.144 0.625 0.250
Nb 0.375 0.394 0.750
Nb 0.875 0.856 0.750
Zr 0.250 0.750 0.500
Zr 0.500 0.500 0.000
Hg 0.750 0.250 0.500
Hg 0.000 0.000 0.000

---

Record 8
Computed, not measured: a relaxed structure of ZrNb2Hg2 at the GGA-PBE level of DFT.

Summary:
Its distance to the lowest polymorph of the same formula is 0.1113 eV per atom. For the raw total energy, the calculation gives -5.50 eV/atom. The value obtained for the formation energy is 0.3614 eV per atom.

Lattice parameters (Å, degrees): 7.530 7.530 3.669 90.00 90.00 90.00
Fractional coordinates of all 10 atoms:
Nb 0.831 0.331 0.500
Nb 0.669 0.831 0.500
Nb 0.169 0.669 0.500
Nb 0.331 0.169 0.500
Hg 0.633 0.133 0.000
Hg 0.367 0.867 0.000
Hg 0.867 0.633 0.000
Hg 0.133 0.367 0.000
Zr 0.000 0.000 0.000
Zr 0.500 0.500 0.000